A geometry-optimized Fe2MoPd9 structure, computed with PBE.

Computed properties:
Theoretical density in Mg/m³: 10.8
DOS(E_F) in states/eV per cell: 9.62
DFT formation energy in meV per atom: -70.0
VASP energy in eV/atom: -6.28

```
data_Fe2MoPd9
_chemical_formula_sum 'Fe2 Mo1 Pd9'
_cell_length_a 3.912
_cell_length_b 3.912
_cell_length_c 11.746
_cell_angle_alpha 90.00
_cell_angle_beta 90.00
_cell_angle_gamma 90.00
_symmetry_space_group_name_H-M 'P 4/m m m'
_symmetry_Int_Tables_number 123
_symmetry_space_group_name_Hall '-P 4 2'
loop_
_atom_site_label
_atom_site_type_symbol
_atom_site_fract_x
_atom_site_fract_y
_atom_site_fract_z
Fe1 Fe 0.000 0.000 0.161
Mo1 Mo 0.000 0.000 0.500
Pd1 Pd 0.000 0.500 0.000
Pd2 Pd 0.000 0.500 0.334
Pd3 Pd 0.500 0.500 0.167
Pd4 Pd 0.500 0.500 0.500
```